# LiSi2RuCl

A relaxed LiSi2RuCl crystal (PBE, Alexandria).

a = 4.6034 Å, b = 4.6034 Å, c = 4.0883 Å
α = 90.00°, β = 90.00°, γ = 90.00°
With the nearest neighbours (Å) after each atom.
Element x y z (fractional)
Li 0.0000 0.0000 0.0000  2 Cl 2.04
Si 0.0000 0.5000 0.0000  2 Li 2.30
Si 0.5000 0.0000 0.0000  2 Li 2.30
Ru 0.5000 0.5000 0.5000  8 Si 3.08, 4 Cl 3.26
Cl 0.0000 0.0000 0.5000  2 Li 2.04

Symmetry: No. 123
ΔE_f (raw): 1.04 eV/atom